[1]
PBE-GGA HfMgMo2W, optimized geometry; ΔH_f (0 K) = 2273 meV/atom; VASP energy = -34.80 eV per cell
1.0
4.6929 0.0000 0.0000
0.0000 4.8627 0.0000
0.0000 0.0000 4.6929
W Mo Hf Mg
1 2 1 1
Cartesian
2.3464 2.4314 2.3464
0.0000 0.0000 2.3464
2.3464 0.0000 0.0000
0.0000 0.0000 0.0000
0.0000 2.4314 0.0000


[2]
PBE-GGA CeEr2Co9, optimized geometry; ΔH_f (0 K) = -193 meV/atom; VASP energy = -81.33 eV per cell
1.0
-3.2005 -3.7599 -0.3348
1.6672 -4.6512 -0.2807
-0.7032 -3.3617 7.8991
Ce Co Er
1 9 2
Cartesian
0.0000 0.0000 0.0000
0.1924 -5.5441 5.7541
0.0312 -6.6792 1.5568
-1.0230 -5.6097 -0.3773
-1.1183 -5.8864 3.6418
-2.4289 -6.2288 1.5295
-1.4251 -7.4443 5.5849
-0.8114 -4.3286 1.6987
-2.2677 -5.0937 5.7267
-1.2136 -6.1632 7.6609
-1.6140 -8.6457 2.7905
-0.6225 -3.1272 4.4931


[3]
PBE-GGA AlPd8Pt2, optimized geometry; offset from the most stable computed form = 0.0000 eV/atom; ΔH_f (0 K) = -257 meV/atom; VASP energy = -60.19 eV per cell
1.0
-1.0010 -0.6568 -3.7689
5.2095 -3.2417 -0.8186
-4.3160 -4.4181 3.9908
Pt Pd Al
2 8 1
Cartesian
1.1283 -4.1843 0.4296
-1.2357 -4.1324 -1.0262
0.2682 -6.4802 -1.0165
-2.6092 -3.3377 1.2746
-0.3757 -1.8365 0.4198
-1.0565 -5.7030 1.2745
0.9491 -2.6137 -1.8712
-3.4907 -5.5262 -0.1844
2.5017 -4.9790 -1.8713
3.3832 -2.7905 -0.4122
-0.5005 -0.3284 -1.8844


[4]
PBE-GGA VCoTe2, optimized geometry; VASP energy = -21.43 eV per cell; E_form (uncorrected) = 268 meV per atom
1.0
-4.1696 3.6060 6.6732
-1.8511 1.5761 8.3072
-0.9114 4.7416 7.1838
Te Co V
2 1 1
Cartesian
-0.6725 0.9627 2.1502
-6.2596 8.9610 20.0140
0.0000 0.0000 0.0000
-3.4660 4.9618 11.0821


[5]
PBE-GGA MgCu3Sn, optimized geometry; offset from the most stable computed form = 0.3687 eV/atom; ΔH_f (0 K) = 596 meV/atom; VASP energy = -14.90 eV per cell
1.0
4.8182 0.0000 0.0000
0.0000 4.8182 0.0000
0.0000 0.0000 4.8182
Cu Sn Mg
3 1 1
Cartesian
2.4091 0.0000 0.0000
0.0000 0.0000 2.4091
0.0000 2.4091 0.0000
0.0000 0.0000 0.0000
2.4091 2.4091 2.4091


[6]
PBE-GGA Mn2TlH, optimized geometry; offset from the most stable computed form = 0.5369 eV/atom; VASP energy = -20.50 eV per cell
1.0
0.0000 3.1748 3.1748
3.1748 0.0000 3.1748
3.1748 3.1748 0.0000
Tl H Mn
1 1 2
Cartesian
3.1748 3.1748 3.1748
0.0000 0.0000 0.0000
1.5874 1.5874 1.5874
4.7622 4.7622 4.7622


[7]
PBE-GGA Ho2Al3Ga3, optimized geometry; ΔH_f (0 K) = -471 meV/atom; VASP energy = -33.23 eV per cell
1.0
-1.1317 2.9901 2.8463
-3.9647 -1.5612 0.0637
2.1378 -5.1724 6.2836
Ga Al Ho
3 3 2
Cartesian
-0.9134 -3.3668 3.1737
-1.9823 -0.7806 0.0319
0.5030 -1.0912 4.5650
-0.9382 -3.1810 6.1874
-2.0204 -0.5625 3.0063
-0.5659 1.4951 1.4232
1.5968 -3.8634 4.6935
0.5410 -1.3090 1.5902


[8]
PBE-GGA CeThPaAg, optimized geometry; ΔH_f (0 K) = 261 meV/atom; VASP energy = -24.66 eV per cell
1.0
-0.5901 -0.1608 5.2434
-3.1330 -3.6389 2.1932
2.1037 -3.9693 2.7724
Pa Ag Ce Th
1 1 1 1
Cartesian
-1.2145 -5.8268 7.6568
-0.4048 -1.9423 2.5523
0.0000 0.0000 0.0000
-0.8097 -3.8845 5.1045


[9]
PBE-GGA Sc2GaPt5, optimized geometry; ΔH_f (0 K) = -1056 meV/atom; VASP energy = -108.68 eV per cell
1.0
-2.2421 0.3188 3.3444
4.2359 -2.2065 3.0501
4.1279 10.3820 1.7776
Sc Pt Ga
4 10 2
Cartesian
3.2905 8.6658 3.8187
4.4827 5.2344 4.9452
1.6390 3.2600 3.2270
2.8313 -0.1715 4.3534
5.0324 6.8185 2.7237
5.5431 7.8326 5.4083
2.2753 6.0440 3.3881
1.2403 2.5277 0.5905
3.8464 2.4503 4.7840
3.3314 1.3570 2.1040
4.1819 4.0877 2.4139
7.1236 5.6478 4.2372
0.0000 0.0000 0.0000
0.5787 0.6617 2.7638
2.0640 5.1910 0.8888
2.1180 -1.1032 1.5251


[10]
PBE-GGA HoTm2Pb2, optimized geometry; offset from the most stable computed form = 0.0000 eV/atom; ΔH_f (0 K) = -402 meV/atom; VASP energy = -45.90 eV per cell
1.0
4.9288 0.0000 0.0000
0.0000 6.4944 0.0000
-2.4644 0.0000 9.1322
Tm Pb Ho
4 4 2
Cartesian
2.4644 5.0116 9.1169
2.4644 0.1657 5.7193
0.0000 3.4129 3.4129
0.0000 1.7644 0.0153
0.0000 0.1408 7.7684
0.0000 0.1712 3.6821
2.4644 3.3880 1.3638
2.4644 3.4184 5.4501
2.4644 0.1321 1.9641
0.0000 3.3793 7.1681


[11]
PBE-GGA Ba3CuPd3, optimized geometry; ΔH_f (0 K) = -422 meV/atom; VASP energy = -56.80 eV per cell
1.0
-1.2784 -3.6148 -2.3492
3.1165 -0.2938 -5.5476
10.7050 -9.8205 4.9821
Ba Pd Cu
6 6 2
Cartesian
5.6118 -5.7472 -2.8177
6.9313 -7.9819 -0.0970
2.2961 -3.1481 -5.0126
9.6018 -10.4332 -2.0820
2.9413 -3.2959 -0.8327
10.2470 -10.5810 2.0979
3.9433 -6.0342 -5.7717
7.4162 -8.4269 -3.9799
5.1269 -5.3022 1.0652
12.4393 -9.6895 -0.4669
0.1038 -4.0396 -2.4478
8.5998 -7.6949 2.8570
3.3560 -6.5747 -0.3168
9.1871 -7.1545 -2.5979


[12]
PBE-GGA Mg2InPd, optimized geometry; ΔH_f (0 K) = -447 meV/atom; VASP energy = -12.91 eV per cell
1.0
3.1866 0.0000 0.0000
0.0000 3.1866 0.0000
0.0000 0.0000 7.7332
Pd Mg In
1 2 1
Cartesian
1.5933 1.5933 0.0000
0.0000 0.0000 1.5633
0.0000 0.0000 6.1699
1.5933 1.5933 3.8666